The following is a PBE calculation of a geometry-optimized ZrAg2Se structure, from the Alexandria database.

```
ZrAg2Se
1.0
-4.154 6.258 -2.473
-4.126 -4.664 -4.874
-5.940 0.367 -1.738
Ag Zr Se
4 2 2
Cartesian
-11.604 1.778 -7.618
-7.656 0.765 -4.172
-4.500 3.275 -2.532
-4.680 -1.896 -3.847
-7.117 3.711 -3.942
0.000 0.000 0.000
-4.140 0.797 -3.673
-7.103 -1.750 -5.143
```

Properties
Its density of states at the Fermi level is 0.13 states/eV per atom. For the total magnetization, the calculation gives 0.00 Bohr magnetons per cell. Its space group is I-42d, No. 122. The calculation puts the energy at -36.485 eV for the cell shown.